Entry from OQMD via LeMat-Bulk: CsTmP2Se7 after structural relaxation (PBE).

Unit cell a=7.137 b=7.137 c=7.198 alpha=96.28 beta=96.28 gamma=96.95
Positions (direct):
P  0.052  0.337  0.591
P  0.663  0.948  0.409
Tm  0.505  0.495  0.500
Se  0.119  0.468  0.338
Se  0.314  0.355  0.792
Se  0.645  0.686  0.208
Se  0.991  0.009  0.500
Se  0.826  0.435  0.749
Se  0.532  0.881  0.662
Se  0.565  0.174  0.251
Cs  0.101  0.899  0.000

Calculated values
Symmetry: C2, No. 5
Energy: -4.39 eV/atom
V: 359 Å³ per cell